Compound: Zr2HgIr2
Source: Alexandria via LeMat-Bulk
Functional: GGA-PBE
Structure: optimized geometry

Results
ΔH_f (0 K) = -425 meV per atom
Calculated total energy = -7.45 eV per atom
Space group = No. 127
ΔE to the lowest computed polymorph = 176 meV per atom
Crystal system = tetragonal
Spin magnetization = 0.00 μB/f.u.
Density of states at the Fermi level = 0.99 states/eV/atom

a b c (Å): 7.9732 7.9732 3.1255
angles (deg): 90.00 90.00 90.00
Fractional positions:
Ir: 0.1358 0.6358 0.5000
Ir: 0.6358 0.8642 0.5000
Ir: 0.8642 0.3642 0.5000
Ir: 0.3642 0.1358 0.5000
Hg: 0.0000 0.0000 0.0000
Hg: 0.5000 0.5000 0.0000
Zr: 0.3475 0.8475 0.0000
Zr: 0.8475 0.6525 0.0000
Zr: 0.6525 0.1525 0.0000
Zr: 0.1525 0.3475 0.0000